# Tb5Dy3Ho

Tb5Dy3Ho after structural relaxation (PBE, Alexandria via LeMat-Bulk).

a = 15.0661 Å, b = 11.4218 Å, c = 9.8239 Å
α = 90.00°, β = 129.98°, γ = 90.00°
With the nearest neighbours (Å) after each atom.
Space group C2/m (No. 12)
Asymmetric unit:
Tb (0.0000, 0.2436, 0.0000) (multiplicity 4)  1 Dy 2.93
Tb (0.1498, 0.2482, 0.7460) (multiplicity 8)  2 Tb 3.31-3.38, 2 Dy 3.46-3.52
Tb (0.2233, 0.5000, 0.0414) (multiplicity 4)  3 Dy 3.12-3.32, 3 Tb 3.26-3.31, 1 Ho 3.30
Tb (0.2243, 0.0000, 0.2332) (multiplicity 4)  3 Dy 3.18-3.34, 3 Tb 3.26-3.38, 1 Ho 3.35
Dy (0.0000, 0.0000, 0.5000) (multiplicity 2)  2 Dy 3.05, 2 Ho 3.22
Dy (0.0000, 0.5000, 0.0000) (multiplicity 2)  4 Tb 2.93-3.12, 2 Ho 3.28
Dy (0.0091, 0.0000, 0.8188) (multiplicity 4)  1 Dy 3.05, 5 Tb 3.18-3.35, 1 Ho 3.37
Dy (0.0184, 0.5000, 0.3582) (multiplicity 4)  2 Dy 3.17-3.35, 4 Tb 3.21-3.52, 1 Ho 3.25
Ho (0.2486, 0.0000, 0.5971) (multiplicity 4)  4 Dy 3.22-3.37, 2 Tb 3.30-3.35

Computed properties:
Energy above the most stable polymorph in this dataset, meV per atom: 301
Calculated formation energy, eV/atom: 0.519
D(E_F), states/eV/atom: 1.39
Total moment, μB per formula unit: 0.00



# Zn2In6Hg

Zn2In6Hg after structural relaxation (PBE, Alexandria via LeMat-Bulk).

a = 14.4923 Å, b = 3.2937 Å, c = 10.8432 Å
α = 90.00°, β = 120.21°, γ = 90.00°
With the nearest neighbours (Å) after each atom.
Space group C2/m (No. 12)
Asymmetric unit:
Zn (0.1344, 0.0000, 0.2521) (multiplicity 4)  2 Hg 2.94, 7 In 3.00-3.10
In (0.0330, 0.5000, 0.7140) (multiplicity 4)  2 Zn 3.10, 6 In 3.29-3.31, 1 Hg 3.37
In (0.1678, 0.0000, 0.5483) (multiplicity 4)  3 Zn 3.00-3.06, 5 In 3.19-3.31
In (0.2389, 0.5000, 0.1151) (multiplicity 4)  1 Hg 3.03, 2 Zn 3.08, 7 In 3.14-3.30
Hg (0.0000, 0.5000, 0.0000) (multiplicity 2)  4 Zn 2.94, 2 In 3.03

Computed properties:
Calculated formation energy, eV/atom: 0.068
D(E_F), states/eV/atom: 0.31
Total moment, μB per formula unit: 0.00



# PmTm3Ir2

PmTm3Ir2 after structural relaxation (PBE, Alexandria via LeMat-Bulk).

a = 4.5747 Å, b = 8.7426 Å, c = 7.2290 Å
α = 90.00°, β = 90.00°, γ = 90.00°
With the nearest neighbours (Å) after each atom.
Space group Pmc2_1 (No. 26)
Asymmetric unit:
Pm (0.0000, 0.0840, 0.0000) (multiplicity 2)  3 Ir 2.88-3.03
Tm (0.0000, 0.3318, 0.6316) (multiplicity 2)  4 Ir 2.85-2.89
Tm (0.5000, 0.1777, 0.3487) (multiplicity 2)  4 Ir 2.84-3.05
Tm (0.5000, 0.4151, 0.9777) (multiplicity 2)  3 Ir 2.82-3.02
Ir (0.0000, 0.3490, 0.2376) (multiplicity 2)  6 Tm 2.85-3.02, 1 Pm 2.88
Ir (0.5000, 0.1595, 0.7403) (multiplicity 2)  5 Tm 2.82-3.05, 2 Pm 3.03

Computed properties:
Energy above the most stable polymorph in this dataset, meV per atom: 0
Calculated formation energy, eV/atom: -0.747
D(E_F), states/eV/atom: 0.94
Total moment, μB per formula unit: 0.00



# BeAlSb

BeAlSb after structural relaxation (PBE, Alexandria via LeMat-Bulk).

a = 6.1588 Å, b = 6.1588 Å, c = 6.1588 Å
α = 90.00°, β = 90.00°, γ = 90.00°
With the nearest neighbours (Å) after each atom.
Space group F-43m (No. 216)
Asymmetric unit:
Be (0.0000, 0.0000, 0.0000) (multiplicity 4)  4 Al 2.67, 4 Sb 2.67
Al (0.2500, 0.2500, 0.7500) (multiplicity 4)  4 Be 2.67
Sb (0.2500, 0.2500, 0.2500) (multiplicity 4)  4 Be 2.67

Computed properties:
Energy above the most stable polymorph in this dataset, meV per atom: 0
D(E_F), states/eV/atom: 0.14
Total moment, μB per formula unit: 0.00



# Cu5Ag

Cu5Ag after structural relaxation (PBE, Alexandria via LeMat-Bulk).

a = 3.6854 Å, b = 11.2312 Å, c = 3.7631 Å
α = 90.00°, β = 90.00°, γ = 90.00°
With the nearest neighbours (Å) after each atom.
Space group Cmmm (No. 65)
Asymmetric unit:
Cu (0.0000, 0.0000, 0.0000) (multiplicity 2)  4 Ag 2.63, 8 Cu 2.67-2.70
Cu (0.0000, 0.1726, 0.5000) (multiplicity 4)  10 Cu 2.53-2.70, 2 Ag 2.67
Cu (0.0000, 0.3281, 0.0000) (multiplicity 4)  10 Cu 2.54-2.67, 2 Ag 2.70
Ag (0.0000, 0.5000, 0.5000) (multiplicity 2)  12 Cu 2.63-2.70

Computed properties:
Calculated formation energy, eV/atom: 0.062
D(E_F), states/eV/atom: 0.28
Total moment, μB per formula unit: 0.00



# GaSnRu3

GaSnRu3 after structural relaxation (PBE, Alexandria via LeMat-Bulk).

a = 4.8435 Å, b = 4.8435 Å, c = 4.8435 Å
α = 90.00°, β = 90.00°, γ = 90.00°
With the nearest neighbours (Å) after each atom.
Space group Pm-3m (No. 221)
Asymmetric unit:
Ga (0.0000, 0.0000, 0.0000) (multiplicity 1)  12 Ru 3.42
Sn (0.5000, 0.5000, 0.5000) (multiplicity 1)  6 Ru 2.42
Ru (0.0000, 0.5000, 0.5000) (multiplicity 3)  2 Sn 2.42

Computed properties:
Energy above the most stable polymorph in this dataset, meV per atom: 748
Calculated formation energy, eV/atom: 1.690
D(E_F), states/eV/atom: 1.12
Total moment, μB per formula unit: 3.01